PBE Pa2Cu6Si3, optimized geometry; crystal system = hexagonal; space-group type = No. 189; density = 8.815 g/cm³; raw formation energy = -27.4 kJ per mole of atoms; final energy = -5.7241 eV per atom
1.0
-0.118 3.901 0.587
-3.379 0.837 -6.246
-3.765 -1.016 5.993
Pa Cu Si
2 6 3
direct
0.000 0.667 0.333 Pa
0.000 0.333 0.667 Pa
0.500 0.715 0.715 Cu
0.500 0.000 0.285 Cu
0.000 0.198 0.198 Cu
0.000 0.802 0.000 Cu
0.500 0.285 0.000 Cu
0.000 0.000 0.802 Cu
0.500 0.380 0.380 Si
0.500 0.620 0.000 Si
0.500 0.000 0.620 Si



PBE Pa2Cu5Si4, optimized geometry; crystal system = orthorhombic; space-group type = No. 69; density = 8.442 g/cm³; raw formation energy = -19.0 kJ per mole of atoms; final energy = -5.7572 eV per atom
1.0
5.593 0.000 0.000
2.797 4.527 0.000
2.797 0.000 6.931
Pa Cu Si
2 5 4
direct
0.854 0.000 0.292 Pa
0.146 0.000 0.708 Pa
0.500 0.000 0.000 Cu
0.000 0.500 0.000 Cu
0.500 0.500 0.000 Cu
0.250 0.500 0.500 Cu
0.750 0.500 0.500 Cu
0.506 0.267 0.720 Si
0.494 0.733 0.280 Si
0.226 0.267 0.280 Si
0.774 0.733 0.720 Si



PBE Pa2CuSi3, optimized geometry; crystal system = orthorhombic; space-group type = No. 69; relative energy among the computed polymorphs = 0.02 eV/f.u.; density = 9.073 g/cm³; raw formation energy = -49.2 kJ per mole of atoms; final energy = -7.0693 eV per atom
1.0
-2.845 -4.369 -2.237
-1.465 -1.708 5.209
-3.569 6.937 -1.818
Pa Cu Si
4 2 6
direct
0.250 0.750 0.500 Pa
0.755 0.755 0.000 Pa
0.750 0.250 0.500 Pa
0.245 0.245 0.000 Pa
0.335 0.335 0.669 Cu
0.665 0.665 0.331 Cu
0.662 0.168 0.831 Si
0.832 0.338 0.169 Si
0.338 0.832 0.169 Si
0.168 0.662 0.831 Si
0.830 0.830 0.660 Si
0.170 0.170 0.340 Si



PBE Pa2Cu3Si, optimized geometry; crystal system = orthorhombic; space-group type = No. 69; density = 10.609 g/cm³; raw formation energy = -19.7 kJ per mole of atoms; final energy = -6.3218 eV per atom
1.0
-3.121 -2.214 -3.857
3.951 2.609 -2.666
3.783 -6.393 3.420
Pa Cu Si
4 6 2
direct
0.250 0.750 0.500 Pa
0.767 0.767 0.000 Pa
0.750 0.250 0.500 Pa
0.233 0.233 0.000 Pa
0.340 0.827 0.167 Cu
0.173 0.660 0.833 Cu
0.660 0.173 0.833 Cu
0.827 0.340 0.167 Cu
0.168 0.168 0.337 Cu
0.832 0.832 0.663 Cu
0.665 0.665 0.330 Si
0.335 0.335 0.670 Si



PBE Pa3Cu2Si4, optimized geometry; crystal system = orthorhombic; space-group type = No. 71; relative energy among the computed polymorphs = 2.76 eV/f.u.; density = 8.531 g/cm³; raw formation energy = -19.3 kJ per mole of atoms; final energy = -6.6863 eV per atom
1.0
3.891 0.000 0.000
1.945 7.580 0.694
1.945 3.935 6.515
Pa Cu Si
3 2 4
direct
0.341 0.159 0.159 Pa
0.500 0.500 0.500 Pa
0.659 0.841 0.841 Pa
0.000 0.832 0.168 Cu
0.000 0.168 0.832 Cu
0.852 0.821 0.474 Si
0.148 0.526 0.179 Si
0.148 0.179 0.526 Si
0.852 0.474 0.821 Si



PBE PaCu4Si3, optimized geometry; crystal system = tetragonal; space-group type = No. 123; density = 7.802 g/cm³; raw formation energy = -29.6 kJ per mole of atoms; final energy = -5.5755 eV per atom
1.0
4.003 0.000 0.000
0.000 4.003 0.000
0.000 0.000 7.563
Si Pa Cu
3 1 4
direct
0.000 0.000 0.000 Si
0.500 0.500 0.348 Si
0.500 0.500 0.652 Si
0.000 0.000 0.500 Pa
0.500 0.000 0.174 Cu
0.000 0.500 0.174 Cu
0.500 0.000 0.826 Cu
0.000 0.500 0.826 Cu



PBE Pa3Cu2Si4, optimized geometry; crystal system = monoclinic; space-group type = No. 12; relative energy among the computed polymorphs = 0.00 eV/f.u.; density = 9.270 g/cm³; raw formation energy = -48.9 kJ per mole of atoms; final energy = -6.9926 eV per atom
1.0
4.011 0.000 0.000
-2.006 5.174 -1.130
0.000 0.252 7.993
Pa Cu Si
3 2 4
direct
0.664 0.329 0.671 Pa
0.000 0.000 0.000 Pa
0.336 0.671 0.329 Pa
0.614 0.228 0.283 Cu
0.386 0.772 0.717 Cu
0.720 0.439 0.058 Si
0.280 0.561 0.942 Si
0.940 0.881 0.610 Si
0.060 0.119 0.390 Si



PBE SmPaCuSi, optimized geometry; crystal system = cubic; space-group type = No. 216; density = 9.102 g/cm³; raw formation energy = -11.9 kJ per mole of atoms; final energy = -6.0570 eV per atom
1.0
4.960 0.000 0.000
2.480 4.296 0.000
2.480 1.432 4.050
Si Pa Cu Sm
1 1 1 1
direct
0.250 0.250 0.250 Si
0.000 0.000 0.000 Pa
0.750 0.750 0.750 Cu
0.500 0.500 0.500 Sm



PBE PaTaCuSi2, optimized geometry; crystal system = tetragonal; space-group type = No. 119; density = 10.141 g/cm³; raw formation energy = -35.3 kJ per mole of atoms; final energy = -7.6242 eV per atom
1.0
3.920 0.000 0.000
0.000 3.920 0.000
-1.960 -1.960 5.665
Pa Ta Cu Si
1 1 1 2
direct
0.000 0.000 0.000 Pa
0.750 0.250 0.500 Ta
0.250 0.750 0.500 Cu
0.606 0.606 0.213 Si
0.394 0.394 0.787 Si



PBE Pa3CuSi3Tc2, optimized geometry; crystal system = hexagonal; space-group type = No. 189; density = 10.482 g/cm³; raw formation energy = -43.2 kJ per mole of atoms; final energy = -8.1799 eV per atom
1.0
3.842 0.000 0.000
0.000 7.026 0.000
0.000 -3.513 6.085
Pa Cu Si Tc
3 1 3 2
direct
0.000 0.000 0.409 Pa
0.000 0.591 0.591 Pa
0.000 0.409 0.000 Pa
0.000 0.000 0.000 Cu
0.500 0.755 0.000 Si
0.500 0.245 0.245 Si
0.500 0.000 0.755 Si
0.500 0.333 0.667 Tc
0.500 0.667 0.333 Tc



PBE PaTiCuSi2, optimized geometry; crystal system = tetragonal; space-group type = No. 119; density = 7.739 g/cm³; raw formation energy = -46.6 kJ per mole of atoms; final energy = -6.9493 eV per atom
1.0
3.921 0.000 0.000
0.000 3.921 0.000
-1.961 -1.961 5.562
Pa Ti Cu Si
1 1 1 2
direct
0.000 0.000 0.000 Pa
0.250 0.750 0.500 Ti
0.750 0.250 0.500 Cu
0.609 0.609 0.217 Si
0.391 0.391 0.783 Si



PBE TmPaCuSi, optimized geometry; crystal system = cubic; space-group type = No. 216; density = 9.964 g/cm³; raw formation energy = -18.6 kJ per mole of atoms; final energy = -6.0645 eV per atom
1.0
-3.848 2.894 -0.763
-1.964 0.322 -4.451
-4.381 -1.950 -0.878
Si Pa Tm Cu
1 1 1 1
direct
0.750 0.750 0.750 Si
0.500 0.500 0.500 Pa
0.000 0.000 0.000 Tm
0.250 0.250 0.250 Cu



| no. | total magnetic moment (μB/f.u.) |
| --- | --- |
| 1 | 0.000 |
| 2 | 0.002 |
| 3 | 0.000 |
| 4 | 0.000 |
| 5 | 0.001 |
| 6 | 0.000 |
| 7 | 0.001 |
| 8 | 0.534 |
| 9 | 0.000 |
| 10 | 0.000 |
| 11 | 0.000 |
| 12 | 0.000 |